{"formula": "CuSiCl2", "functional": "PBE", "state": "relaxed", "cell": [[1.6679, 0.9630, 8.5626], [-1.6679, 0.9630, 8.5626], [0.0000, -1.9259, 8.5626]], "species": ["Cu", "Si", "Cl", "Cl"], "fractional_positions": [[0.0000, 0.0000, 0.0000], [0.5000, 0.5000, 0.5000], [0.0827, 0.0827, 0.0827], [0.9173, 0.9173, 0.9173]], "mass_density_g_cm3": 3.27, "total_energy_ev_per_atom": -3.214, "space_group": "R-3m (166)", "polymorph_energy_ev_per_atom": 0.4067}